Entry 1:
# Mn2CoSb | Alexandria via LeMat-Bulk | PBE | relaxed
data_Mn2CoSb
_chemical_formula_sum 'Mn2 Co1 Sb1'
_symmetry_space_group_name_H-M 'P 1'
_symmetry_Int_Tables_number 1
_cell_length_a 4.458
_cell_length_b 4.458
_cell_length_c 4.458
_cell_angle_alpha 126.71
_cell_angle_beta 126.71
_cell_angle_gamma 78.72
loop_
_symmetry_equiv_pos_as_xyz
'x,y,z'
loop_
_atom_site_label
_atom_site_fract_x
_atom_site_fract_y
_atom_site_fract_z
_atom_site_occupancy
Mn1 0.000 0.000 0.000 1
Mn2 0.250 0.750 0.500 1
Co1 0.750 0.250 0.500 1
Sb1 0.500 0.500 0.000 1
# D(E_F) in states/eV per cell: 3.7
# Volume in Å³ per atom: 13.78
# Total moment in Bohr magnetons per cell: 2.0
# Mass density in Mg/m³: 8.8
# Formation energy (no corrections) in eV/f.u.: 0.266

Entry 2:
# HfZr2ZnPb | Alexandria via LeMat-Bulk | PBE | relaxed
data_HfZr2ZnPb
_chemical_formula_sum 'Hf1 Zr2 Zn1 Pb1'
_symmetry_space_group_name_H-M 'P 1'
_symmetry_Int_Tables_number 1
_cell_length_a 5.421
_cell_length_b 4.782
_cell_length_c 5.421
_cell_angle_alpha 90.00
_cell_angle_beta 90.00
_cell_angle_gamma 90.00
loop_
_symmetry_equiv_pos_as_xyz
'x,y,z'
loop_
_atom_site_label
_atom_site_fract_x
_atom_site_fract_y
_atom_site_fract_z
_atom_site_occupancy
Zn1 0.000 0.500 0.000 1
Zr1 0.000 0.000 0.500 1
Zr2 0.500 0.000 0.000 1
Hf1 0.500 0.500 0.500 1
Pb1 0.000 0.000 0.000 1
# D(E_F) in states/eV per cell: 7.2
# ΔE_f in eV per atom: 1.1490
# Volume in Å³ per atom: 28.11
# Total moment in Bohr magnetons per cell: 1.0
# Mass density in Mg/m³: 7.5

Entry 3:
# BaNdMg | Alexandria via LeMat-Bulk | PBE | relaxed
data_BaNdMg
_chemical_formula_sum 'Ba2 Nd2 Mg2'
_symmetry_space_group_name_H-M 'P 1'
_symmetry_Int_Tables_number 1
_cell_length_a 4.018
_cell_length_b 4.018
_cell_length_c 15.263
_cell_angle_alpha 97.56
_cell_angle_beta 97.56
_cell_angle_gamma 90.00
loop_
_symmetry_equiv_pos_as_xyz
'x,y,z'
loop_
_atom_site_label
_atom_site_fract_x
_atom_site_fract_y
_atom_site_fract_z
_atom_site_occupancy
Nd1 0.288 0.288 0.575 1
Nd2 0.712 0.712 0.425 1
Ba1 0.430 0.430 0.859 1
Ba2 0.570 0.570 0.141 1
Mg1 0.848 0.848 0.696 1
Mg2 0.152 0.152 0.304 1
# D(E_F) in states/eV per cell: 7.6
# ΔE_f in eV per atom: 0.0209
# Volume in Å³ per atom: 40.35
# Energy relative to the lowest polymorph listed for this composition in meV per atom: 0
# Total moment in Bohr magnetons per cell: 0.0
# Mass density in Mg/m³: 4.2

Entry 4:
# CsCd2In | Alexandria via LeMat-Bulk | PBE | relaxed
data_CsCd2In
_chemical_formula_sum 'Cs1 Cd2 In1'
_symmetry_space_group_name_H-M 'P 1'
_symmetry_Int_Tables_number 1
_cell_length_a 5.038
_cell_length_b 5.038
_cell_length_c 7.579
_cell_angle_alpha 70.59
_cell_angle_beta 70.59
_cell_angle_gamma 60.00
loop_
_symmetry_equiv_pos_as_xyz
'x,y,z'
loop_
_atom_site_label
_atom_site_fract_x
_atom_site_fract_y
_atom_site_fract_z
_atom_site_occupancy
Cs1 0.500 0.500 0.500 1
Cd1 0.699 0.699 0.902 1
Cd2 0.301 0.301 0.098 1
In1 0.000 0.000 0.000 1
# D(E_F) in states/eV per cell: 1.8
# ΔE_f in eV per atom: -0.0622
# Volume in Å³ per atom: 38.47
# Total moment in Bohr magnetons per cell: 0.0
# Mass density in Mg/m³: 5.1

Entry 5:
# La2PbO | Alexandria via LeMat-Bulk | PBE | relaxed
data_La2PbO
_chemical_formula_sum 'La2 Pb1 O1'
_symmetry_space_group_name_H-M 'P 1'
_symmetry_Int_Tables_number 1
_cell_length_a 3.346
_cell_length_b 3.346
_cell_length_c 8.154
_cell_angle_alpha 90.00
_cell_angle_beta 90.00
_cell_angle_gamma 90.00
loop_
_symmetry_equiv_pos_as_xyz
'x,y,z'
loop_
_atom_site_label
_atom_site_fract_x
_atom_site_fract_y
_atom_site_fract_z
_atom_site_occupancy
La1 0.000 0.000 0.803 1
La2 0.000 0.000 0.197 1
O1 0.500 0.500 0.000 1
Pb1 0.500 0.500 0.500 1
# D(E_F) in states/eV per cell: 2.9
# Volume in Å³ per atom: 22.82
# Energy relative to the lowest polymorph listed for this composition in meV per atom: 525
# Total moment in Bohr magnetons per cell: 0.0
# Mass density in Mg/m³: 9.1
# Formation energy (no corrections) in eV/f.u.: -5.158

Entry 6:
# HoBeRu | Alexandria via LeMat-Bulk | PBE | relaxed
data_HoBeRu
_chemical_formula_sum 'Ho1 Be1 Ru1'
_symmetry_space_group_name_H-M 'P 1'
_symmetry_Int_Tables_number 1
_cell_length_a 3.756
_cell_length_b 3.975
_cell_length_c 3.975
_cell_angle_alpha 120.00
_cell_angle_beta 90.00
_cell_angle_gamma 90.00
loop_
_symmetry_equiv_pos_as_xyz
'x,y,z'
loop_
_atom_site_label
_atom_site_fract_x
_atom_site_fract_y
_atom_site_fract_z
_atom_site_occupancy
Be1 0.167 0.000 0.000 1
Ru1 0.167 0.333 0.667 1
Ho1 0.667 0.667 0.333 1
# D(E_F) in states/eV per cell: 1.9
# ΔE_f in eV per atom: -0.2958
# Volume in Å³ per atom: 17.13
# Energy relative to the lowest polymorph listed for this composition in meV per atom: 24
# Total moment in Bohr magnetons per cell: 0.0
# Mass density in Mg/m³: 8.9

Entry 7:
# PmYI6 | Alexandria via LeMat-Bulk | PBE | relaxed
data_PmYI6
_chemical_formula_sum 'Pm1 Y1 I6'
_symmetry_space_group_name_H-M 'P 1'
_symmetry_Int_Tables_number 1
_cell_length_a 7.705
_cell_length_b 7.708
_cell_length_c 8.255
_cell_angle_alpha 62.17
_cell_angle_beta 62.19
_cell_angle_gamma 60.01
loop_
_symmetry_equiv_pos_as_xyz
'x,y,z'
loop_
_atom_site_label
_atom_site_fract_x
_atom_site_fract_y
_atom_site_fract_z
_atom_site_occupancy
I1 0.414 0.746 0.747 1
I2 0.586 0.254 0.253 1
I3 0.093 0.414 0.747 1
I4 0.907 0.586 0.253 1
I5 0.254 0.907 0.253 1
I6 0.746 0.093 0.747 1
Pm1 0.000 0.000 0.000 1
Y1 0.500 0.500 0.500 1
# D(E_F) in states/eV per cell: 0.0
# Volume in Å³ per atom: 44.71
# Energy relative to the lowest polymorph listed for this composition in meV per atom: 40
# Total moment in Bohr magnetons per cell: 0.0
# Mass density in Mg/m³: 4.6
# Formation energy (no corrections) in eV/f.u.: -10.747

Entry 8:
# MoP2S | Alexandria via LeMat-Bulk | PBE | relaxed
data_MoP2S
_chemical_formula_sum 'Mo2 P4 S2'
_symmetry_space_group_name_H-M 'P 1'
_symmetry_Int_Tables_number 1
_cell_length_a 5.482
_cell_length_b 5.482
_cell_length_c 6.619
_cell_angle_alpha 65.54
_cell_angle_beta 65.54
_cell_angle_gamma 90.00
loop_
_symmetry_equiv_pos_as_xyz
'x,y,z'
loop_
_atom_site_label
_atom_site_fract_x
_atom_site_fract_y
_atom_site_fract_z
_atom_site_occupancy
S1 0.500 0.500 0.000 1
S2 0.250 0.750 0.500 1
P1 0.875 0.891 0.750 1
P2 0.375 0.359 0.750 1
P3 0.641 0.125 0.250 1
P4 0.109 0.625 0.250 1
Mo1 0.000 0.000 0.000 1
Mo2 0.750 0.250 0.500 1
# D(E_F) in states/eV per cell: 2.8
# Volume in Å³ per atom: 20.15
# Total moment in Bohr magnetons per cell: 0.0
# Mass density in Mg/m³: 3.9
# Formation energy (no corrections) in eV/f.u.: 1.408

Entry 9:
# CaLa8Sm3 | Alexandria via LeMat-Bulk | PBE | relaxed
data_CaLa8Sm3
_chemical_formula_sum 'Ca1 La8 Sm3'
_symmetry_space_group_name_H-M 'P 1'
_symmetry_Int_Tables_number 1
_cell_length_a 8.951
_cell_length_b 8.951
_cell_length_c 8.951
_cell_angle_alpha 96.86
_cell_angle_beta 135.03
_cell_angle_gamma 99.97
loop_
_symmetry_equiv_pos_as_xyz
'x,y,z'
loop_
_atom_site_label
_atom_site_fract_x
_atom_site_fract_y
_atom_site_fract_z
_atom_site_occupancy
La1 0.824 0.573 0.750 1
La2 0.823 0.074 0.250 1
La3 0.056 0.281 0.776 1
La4 0.177 0.427 0.250 1
La5 0.944 0.719 0.225 1
La6 0.495 0.719 0.775 1
La7 0.176 0.926 0.750 1
La8 0.505 0.281 0.225 1
Sm1 0.500 0.726 0.226 1
Sm2 0.500 0.274 0.774 1
Sm3 0.000 0.500 0.500 1
Ca1 0.000 0.000 0.000 1
# D(E_F) in states/eV per cell: 17.8
# ΔE_f in eV per atom: 0.2863
# Volume in Å³ per atom: 39.01
# Total moment in Bohr magnetons per cell: 0.0
# Mass density in Mg/m³: 5.7

Entry 10:
# PrDy7Er12 | Alexandria via LeMat-Bulk | PBE | relaxed
data_PrDy7Er12
_chemical_formula_sum 'Pr1 Dy7 Er12'
_symmetry_space_group_name_H-M 'P 1'
_symmetry_Int_Tables_number 1
_cell_length_a 8.632
_cell_length_b 8.632
_cell_length_c 8.632
_cell_angle_alpha 95.25
_cell_angle_beta 95.25
_cell_angle_gamma 95.25
loop_
_symmetry_equiv_pos_as_xyz
'x,y,z'
loop_
_atom_site_label
_atom_site_fract_x
_atom_site_fract_y
_atom_site_fract_z
_atom_site_occupancy
Dy1 0.500 0.500 0.500 1
Dy2 0.986 0.919 0.648 1
Dy3 0.352 0.014 0.081 1
Dy4 0.014 0.081 0.352 1
Dy5 0.648 0.986 0.919 1
Dy6 0.919 0.648 0.986 1
Dy7 0.081 0.352 0.014 1
Er1 0.146 0.413 0.477 1
Er2 0.749 0.321 0.190 1
Er3 0.251 0.679 0.810 1
Er4 0.587 0.523 0.854 1
Er5 0.321 0.190 0.749 1
Er6 0.190 0.749 0.321 1
Er7 0.523 0.854 0.587 1
Er8 0.810 0.251 0.679 1
Er9 0.477 0.146 0.413 1
Er10 0.854 0.587 0.523 1
Er11 0.413 0.477 0.146 1
Er12 0.679 0.810 0.251 1
Pr1 0.000 0.000 0.000 1
# D(E_F) in states/eV per cell: 17.6
# ΔE_f in eV per atom: 0.3098
# Volume in Å³ per atom: 31.73
# Energy relative to the lowest polymorph listed for this composition in meV per atom: 0
# Total moment in Bohr magnetons per cell: 0.0
# Mass density in Mg/m³: 8.6

Entry 11:
# Mn2RhPb | Alexandria via LeMat-Bulk | PBE | relaxed
data_Mn2RhPb
_chemical_formula_sum 'Mn2 Rh1 Pb1'
_symmetry_space_group_name_H-M 'P 1'
_symmetry_Int_Tables_number 1
_cell_length_a 4.918
_cell_length_b 4.918
_cell_length_c 4.083
_cell_angle_alpha 65.48
_cell_angle_beta 65.48
_cell_angle_gamma 49.24
loop_
_symmetry_equiv_pos_as_xyz
'x,y,z'
loop_
_atom_site_label
_atom_site_fract_x
_atom_site_fract_y
_atom_site_fract_z
_atom_site_occupancy
Pb1 0.750 0.750 0.750 1
Rh1 0.250 0.250 0.250 1
Mn1 0.500 0.500 0.500 1
Mn2 0.000 0.000 0.000 1
# D(E_F) in states/eV per cell: 3.2
# ΔE_f in eV per atom: 0.2165
# Volume in Å³ per atom: 16.64
# Total moment in Bohr magnetons per cell: 7.6
# Mass density in Mg/m³: 10.5

Entry 12:
# TaSb2P | Alexandria via LeMat-Bulk | PBE | relaxed
data_TaSb2P
_chemical_formula_sum 'Ta1 Sb2 P1'
_symmetry_space_group_name_H-M 'P 1'
_symmetry_Int_Tables_number 1
_cell_length_a 3.052
_cell_length_b 3.052
_cell_length_c 9.642
_cell_angle_alpha 90.00
_cell_angle_beta 90.00
_cell_angle_gamma 104.01
loop_
_symmetry_equiv_pos_as_xyz
'x,y,z'
loop_
_atom_site_label
_atom_site_fract_x
_atom_site_fract_y
_atom_site_fract_z
_atom_site_occupancy
Sb1 0.000 0.000 0.269 1
Sb2 0.000 0.000 0.731 1
Ta1 0.500 0.500 0.500 1
P1 0.500 0.500 0.000 1
# D(E_F) in states/eV per cell: 2.3
# Volume in Å³ per atom: 21.79
# Total moment in Bohr magnetons per cell: 0.0
# Mass density in Mg/m³: 8.7
# Formation energy (no corrections) in eV/f.u.: 2.041